Entry 1:
# PBE-GGA LiY2AsS, relaxed
# N(E_F)   6.8 states/eV per cell
data_LiY2AsS
_chemical_formula_sum 'Li1 Y2 As1 S1'
_symmetry_space_group_name_H-M 'P 4/m m m'
_symmetry_Int_Tables_number 123
_symmetry_space_group_name_Hall '-P 4 2'
_cell_length_a 5.469
_cell_length_b 5.469
_cell_length_c 5.041
_cell_angle_alpha 90.00
_cell_angle_beta 90.00
_cell_angle_gamma 90.00
loop_
_atom_site_label
_atom_site_type_symbol
_atom_site_fract_x
_atom_site_fract_y
_atom_site_fract_z
Li1 Li 0.000 0.000 0.000
Y1 Y 0.000 0.500 0.500
As1 As 0.500 0.500 0.500
S1 S 0.500 0.500 0.000



Entry 2:
# PBE-GGA SrHg4Sb2, relaxed
# N(E_F)   6.6 states/eV per cell
data_SrHg4Sb2
_chemical_formula_sum 'Sr2 Hg8 Sb4'
_symmetry_space_group_name_H-M 'C m m m'
_symmetry_Int_Tables_number 65
_symmetry_space_group_name_Hall '-C 2 2'
_cell_length_a 5.704
_cell_length_b 16.465
_cell_length_c 4.442
_cell_angle_alpha 90.00
_cell_angle_beta 90.00
_cell_angle_gamma 90.00
loop_
_atom_site_label
_atom_site_type_symbol
_atom_site_fract_x
_atom_site_fract_y
_atom_site_fract_z
Sr1 Sr 0.000 0.000 0.000
Hg1 Hg 0.000 0.162 0.500
Hg2 Hg 0.000 0.286 0.000
Sb1 Sb 0.000 0.413 0.500



Entry 3:
# PBE-GGA CeSeS, relaxed
# Energy above the lowest structure with this stoichiometry   0.097 eV/atom
data_CeSeS
_chemical_formula_sum 'Ce1 Se1 S1'
_symmetry_space_group_name_H-M 'P 3 m 1'
_symmetry_Int_Tables_number 156
_cell_length_a 4.2150
_cell_length_b 4.2150
_cell_length_c 6.2622
_cell_angle_alpha 90.00
_cell_angle_beta 90.00
_cell_angle_gamma 120.00
loop_
_symmetry_equiv_pos_as_xyz
'x,y,z'
'-y,x-y,z'
'-x+y,-x,z'
'-y,-x,z'
'-x+y,y,z'
'x,x-y,z'
loop_
_atom_site_label
_atom_site_type_symbol
_atom_site_fract_x
_atom_site_fract_y
_atom_site_fract_z
Ce1 Ce 0.0000 0.0000 0.0000
Se1 Se 0.3333 0.6667 0.7566
S1 S 0.6667 0.3333 0.1982



Entry 4:
# PBE-GGA La3SeN2, relaxed
# Energy above the lowest structure with this stoichiometry   0.000 eV/atom
# N(E_F)   10.9 states/eV per cell
data_La3SeN2
_chemical_formula_sum 'La12 Se4 N8'
_symmetry_space_group_name_H-M 'C m c m'
_symmetry_Int_Tables_number 63
_symmetry_space_group_name_Hall '-C 2c 2'
_cell_length_a 4.030
_cell_length_b 13.503
_cell_length_c 10.096
_cell_angle_alpha 90.00
_cell_angle_beta 90.00
_cell_angle_gamma 90.00
loop_
_atom_site_label
_atom_site_type_symbol
_atom_site_fract_x
_atom_site_fract_y
_atom_site_fract_z
La1 La 0.000 0.064 0.250
La2 La 0.000 0.380 0.063
Se1 Se 0.000 0.252 0.750
N1 N 0.000 0.000 0.000
N2 N 0.000 0.471 0.250



Entry 5:
# PBE-GGA Sb3Mo, relaxed
# Energy above the lowest structure with this stoichiometry   0.155 eV/atom
# N(E_F)   5.6 states/eV per cell
data_Sb3Mo
_chemical_formula_sum 'Sb3 Mo1'
_symmetry_space_group_name_H-M 'P -6 m 2'
_symmetry_Int_Tables_number 187
_symmetry_space_group_name_Hall 'P -6 2'
_cell_length_a 3.3181
_cell_length_b 3.3181
_cell_length_c 10.2468
_cell_angle_alpha 90.00
_cell_angle_beta 90.00
_cell_angle_gamma 120.00
loop_
_atom_site_label
_atom_site_type_symbol
_atom_site_fract_x
_atom_site_fract_y
_atom_site_fract_z
Sb1 Sb 0.0000 0.0000 0.0000
Sb2 Sb 0.6667 0.3333 0.3023
Mo1 Mo 0.0000 0.0000 0.5000



Entry 6:
# PBE-GGA BaAg3Sb2, relaxed
# N(E_F)   6.2 states/eV per cell
data_BaAg3Sb2
_chemical_formula_sum 'Ba4 Ag12 Sb8'
_symmetry_space_group_name_H-M 'C 1 2/m 1'
_symmetry_Int_Tables_number 12
_cell_length_a 17.800
_cell_length_b 4.685
_cell_length_c 8.459
_cell_angle_alpha 90.00
_cell_angle_beta 114.95
_cell_angle_gamma 90.00
loop_
_symmetry_equiv_pos_as_xyz
'x,y,z'
'-x,-y,-z'
'-x,y,-z'
'x,-y,z'
'x+1/2,y+1/2,z'
'-x+1/2,-y+1/2,-z'
'-x+1/2,y+1/2,-z'
'x+1/2,-y+1/2,z'
loop_
_atom_site_label
_atom_site_type_symbol
_atom_site_fract_x
_atom_site_fract_y
_atom_site_fract_z
Ba1 Ba 0.145 0.000 0.069
Ag1 Ag 0.044 0.000 0.390
Ag2 Ag 0.091 0.500 0.651
Ag3 Ag 0.193 0.500 0.458
Sb1 Sb 0.022 0.500 0.193
Sb2 Sb 0.195 0.000 0.699



Number 1: total moment 0.00 Bohr magnetons per cell, ΔE_f (raw) -0.118 eV/atom. Number 2: total moment 0.00 Bohr magnetons per cell, ΔE_f (raw) -0.182 eV/atom. Number 3: total moment 0.00 Bohr magnetons per cell, ΔE_f (raw) -1.620 eV/atom. Number 4: total moment 2.72 Bohr magnetons per cell, ΔE_f (raw) -1.508 eV/atom. Number 5: total moment 0.00 Bohr magnetons per cell, ΔE_f (raw) 0.314 eV/atom. Number 6: total moment 0.00 Bohr magnetons per cell, ΔE_f (raw) -0.386 eV/atom.